[1]
Entry from Alexandria: TaVPt4 after structural relaxation (PBE-GGA).

Lattice parameters (Å, degrees): 5.5210 5.5046 7.1181 90.00 90.00 96.06
Closest atoms and distances in Å follow each position.
Sites, in units of the cell vectors:
Ta  0.0000  0.2500  0.7500  8 Pt 2.64-2.68
Ta  0.0000  0.7500  0.2500  8 Pt 2.64-2.68
V  0.5000  0.2500  0.2500  8 Pt 2.60-2.65
V  0.5000  0.7500  0.7500  8 Pt 2.60-2.65
Pt  0.2561  0.5020  0.0113  2 V 2.60-2.65, 2 Ta 2.64-2.68, 4 Pt 2.70-2.83
Pt  0.2561  0.5020  0.4887  2 V 2.60-2.65, 2 Ta 2.64-2.68, 4 Pt 2.70-2.83
Pt  0.7439  0.9980  0.0113  2 V 2.60-2.65, 2 Ta 2.64-2.68, 4 Pt 2.70-2.83
Pt  0.7439  0.4980  0.5113  2 V 2.60-2.65, 2 Ta 2.64-2.68, 4 Pt 2.70-2.83
Pt  0.7439  0.9980  0.4887  2 V 2.60-2.65, 2 Ta 2.64-2.68, 4 Pt 2.70-2.83
Pt  0.2561  0.0020  0.9887  2 V 2.60-2.65, 2 Ta 2.64-2.68, 4 Pt 2.70-2.83
Pt  0.2561  0.0020  0.5113  2 V 2.60-2.65, 2 Ta 2.64-2.68, 4 Pt 2.70-2.83
Pt  0.7439  0.4980  0.9887  2 V 2.60-2.65, 2 Ta 2.64-2.68, 4 Pt 2.70-2.83

Summary:
- VASP energy (eV/atom) = -7.887

[2]
Entry from Alexandria: LiZn2In2 after structural relaxation (PBE-GGA).

Lattice parameters (Å, degrees): 4.0110 4.0110 7.2358 73.91 73.91 90.00
Closest atoms and distances in Å follow each position.
Sites, in units of the cell vectors:
Zn  0.7500  0.2500  0.5000  4 In 2.77, 4 Zn 2.84
Zn  0.2500  0.7500  0.5000  4 In 2.77, 4 Zn 2.84
Li  0.0000  0.0000  0.0000  8 In 3.17
In  0.3937  0.3937  0.2125  4 Zn 2.77, 1 In 2.83
In  0.6063  0.6063  0.7875  4 Zn 2.77, 1 In 2.83

Summary:
- energy above the most stable polymorph in this dataset (meV/atom) = 29
- VASP energy (eV/atom) = -1.979

| no. | energy relative to the elements (eV per atom) |
| --- | --- |
| 1 | -0.365 |
| 2 | 0.009 |